Entry 1:
Below is a relaxed structure of Be2CrCu, with properties calculated at the PBE level.

Values from the calculation:
- space group = Cm
- crystal system = monoclinic
- formation enthalpy at 0 K (meV/atom) = 93

a = 4.4882 Å, b = 4.4882 Å, c = 4.1833 Å
α = 72.46°, β = 72.46°, γ = 29.79°
Atoms (fractional coordinates):
Be  0.0194  0.0194  0.0485
Cr  0.4828  0.4828  0.5712
Cu  0.2683  0.2683  0.1811
Be  0.7295  0.7295  0.6993

***

Entry 2:
Below is a relaxed structure of CaPuRh2, with properties calculated at the PBE level.

Values from the calculation:
- space group = Fm-3m
- crystal system = cubic
- formation enthalpy at 0 K (meV/atom) = -401

a = 4.8252 Å, b = 4.8252 Å, c = 4.8252 Å
α = 60.00°, β = 60.00°, γ = 60.00°
Site moments in Bohr magnetons follow the coordinates.
Atoms (fractional coordinates):
Ca  0.5000  0.5000  0.5000  0.02
Pu  0.0000  0.0000  0.0000  5.00
Rh  0.7500  0.7500  0.7500  -0.21
Rh  0.2500  0.2500  0.2500  -0.21

***

Entry 3:
Below is a relaxed structure of ZnCuIr2, with properties calculated at the PBE level.

Values from the calculation:
- space group = R-3m
- crystal system = trigonal
- formation enthalpy at 0 K (meV/atom) = 8

a = 8.7204 Å, b = 8.7204 Å, c = 8.7204 Å
α = 18.07°, β = 18.07°, γ = 18.07°
Atoms (fractional coordinates):
Zn  0.2500  0.2500  0.2500
Cu  0.7500  0.7500  0.7500
Ir  0.0005  0.0005  0.0005
Ir  0.4995  0.4995  0.4995